Record 1
First-principles (PBEsol) data for an optimized crystal structure of Rb3CrPt, as listed in Alexandria.

```
Rb3CrPt
1.0
6.256 0.000 0.000
0.000 6.256 0.000
0.000 0.000 6.256
Rb Cr Pt
3 1 1
Cartesian
0.000 0.000 3.128
0.000 3.128 0.000
3.128 0.000 0.000
0.000 0.000 0.000
3.128 3.128 3.128
```

Values from the calculation:
SG = Pm-3m



Record 2
First-principles (PBEsol) data for an optimized crystal structure of KBa2Hg2, as listed in Alexandria.

```
KBa2Hg2
1.0
9.467 0.000 0.000
0.000 9.467 0.000
0.000 0.000 4.357
K Ba Hg
2 4 4
Cartesian
0.000 0.000 0.000
4.733 4.733 0.000
1.428 3.306 2.179
3.306 8.039 2.179
6.161 1.428 2.179
8.039 6.161 2.179
1.316 6.050 0.000
3.417 1.316 0.000
6.050 8.151 0.000
8.151 3.417 0.000
```

Values from the calculation:
SG = P4/mbm



DFT formation energy values (in meV per atom) by entry order: 1266; -369.
Volume values (in Å³ per cell) by entry order: 245; 391.
E values (in eV/atom) by entry order: -2.79; -1.68.